An optimized crystal structure of Ac4RuPtBr2. Source: Alexandria via LeMat-Bulk, functional PBE.

Results
The total magnetization is 0.00 μB/cell. The raw formation energy comes out at -26.03 kcal/mol of atoms.

Cell: 4.3659 7.5667 8.6481 Å, 106.87 90.00 90.00°
Positions (direct):
Br1 0.5000 0.0000 0.5000
Ac1 0.5000 0.2410 0.1939
Ru1 0.5000 0.5000 0.0000
Ac2 0.5000 0.7590 0.8061
Ac3 0.0000 0.7232 0.1969
Pt1 0.0000 0.0000 0.0000
Ac4 0.0000 0.2768 0.8031
Br2 0.0000 0.5000 0.5000